<i>
Entry from Alexandria: a relaxed structure of ScSe2Br (PBE).

Computed properties:
ρ ... 4.8 g/cm³
Crystal system ... tetragonal

Cell lengths 6.9667, 6.9667, 6.9667 Å; angles 147.58, 147.58, 46.51 degrees
Last column: nearest neighbours and their distance in Å.
Fractional positions:
Sc  0.0000  0.0000  0.0000  4 Se 2.75
Se  0.2500  0.7500  0.5000  4 Br 2.75
Se  0.5000  0.5000  0.0000  4 Sc 2.75
Br  0.7500  0.2500  0.5000  4 Se 2.75

=====

<ii>
Entry from Alexandria: a relaxed structure of ScSe2Br (PBE).

Computed properties:
ρ ... 5.4 g/cm³
Crystal system ... tetragonal

Cell lengths 3.9956, 3.9956, 5.4772 Å; angles 90.00, 90.00, 90.00 degrees
Last column: nearest neighbours and their distance in Å.
Fractional positions:
Sc  0.0000  0.0000  0.0000  4 Br 2.83
Se  0.0000  0.5000  0.5000  4 Se 2.83
Se  0.5000  0.0000  0.5000  4 Se 2.83
Br  0.5000  0.5000  0.0000  4 Sc 2.83

=====

Tell me which of them is the most stable. Sure, it is <ii>.

=====

<i>
Entry from Alexandria: a relaxed structure of ScSe2Br (PBE).

Computed properties:
ρ ... 4.1 g/cm³
Crystal system ... orthorhombic

Cell lengths 3.2559, 3.2559, 10.8424 Å; angles 90.00, 90.00, 91.19 degrees
Last column: nearest neighbours and their distance in Å.
Fractional positions:
Sc  0.0000  0.0000  0.0000  4 Se 2.71-2.75, 4 Br 2.93-2.97
Se  0.0000  0.0000  0.4764  4 Se 3.26
Se  0.5000  0.5000  0.1347  4 Sc 2.71-2.75
Br  0.5000  0.5000  0.8296  4 Sc 2.93-2.97, 4 Br 3.26

=====

<ii>
Entry from Alexandria: a relaxed structure of ScSe2Br (PBE).

Computed properties:
ρ ... 5.4 g/cm³
Crystal system ... cubic

Cell lengths 4.9767, 4.9767, 4.9767 Å; angles 60.00, 60.00, 60.00 degrees
Last column: nearest neighbours and their distance in Å.
Fractional positions:
Sc  0.0000  0.0000  0.0000  8 Se 3.05
Se  0.2500  0.2500  0.2500  4 Br 3.05, 4 Sc 3.05
Se  0.7500  0.7500  0.7500  4 Sc 3.05, 4 Br 3.05
Br  0.5000  0.5000  0.5000  8 Se 3.05

=====

Tell me which of them is the most stable. Sure, it is <i>.

=====

<i>
Entry from Alexandria: a relaxed structure of ScSe2Br (PBE).

Computed properties:
ρ ... 5.1 g/cm³
Crystal system ... tetragonal

Cell lengths 3.6703, 3.6703, 6.7825 Å; angles 90.00, 90.00, 90.00 degrees
Last column: nearest neighbours and their distance in Å.
Fractional positions:
Sc  0.0000  0.0000  0.0000  8 Se 2.88
Se  0.5000  0.5000  0.1830  1 Se 2.48
Se  0.5000  0.5000  0.8170  1 Se 2.48
Br  0.0000  0.0000  0.5000  8 Se 3.37, 2 Sc 3.39, 4 Br 3.67

=====

<ii>
Entry from Alexandria: a relaxed structure of ScSe2Br (PBE).

Computed properties:
ρ ... 5.5 g/cm³
Crystal system ... cubic

Cell lengths 4.9458, 4.9458, 4.9458 Å; angles 60.00, 60.00, 60.00 degrees
Last column: nearest neighbours and their distance in Å.
Fractional positions:
Sc  0.0000  0.0000  0.0000  4 Br 3.03, 4 Se 3.03
Se  0.2500  0.2500  0.2500  4 Se 3.03, 4 Sc 3.03
Se  0.5000  0.5000  0.5000  4 Se 3.03, 4 Br 3.03
Br  0.7500  0.7500  0.7500  4 Se 3.03, 4 Sc 3.03

=====

Tell me which of them is the most stable. Sure, it is <i>.

=====

<i>
Entry from Alexandria: a relaxed structure of ScSe2Br (PBE).

Computed properties:
ρ ... 3.7 g/cm³
Crystal system ... trigonal

Cell lengths 10.8390, 10.8390, 10.8390 Å; angles 19.86, 19.86, 19.86 degrees
Last column: nearest neighbours and their distance in Å.
Fractional positions:
Sc  0.0000  0.0000  0.0000  3 Se 2.60, 3 Br 2.79
Se  0.4861  0.4861  0.4861  9 Se 3.74-4.05
Se  0.7119  0.7119  0.7119  3 Sc 2.60
Br  0.2776  0.2776  0.2776  3 Sc 2.79

=====

<ii>
Entry from Alexandria: a relaxed structure of ScSe2Br (PBE).

Computed properties:
ρ ... 4.8 g/cm³
Crystal system ... tetragonal

Cell lengths 3.4789, 3.4789, 8.1311 Å; angles 90.00, 90.00, 90.00 degrees
Last column: nearest neighbours and their distance in Å.
Fractional positions:
Sc  0.0000  0.0000  0.0000  5 Se 2.73-2.89
Se  0.0000  0.0000  0.3558  1 Sc 2.89, 4 Se 2.99
Se  0.5000  0.5000  0.1470  4 Sc 2.73, 4 Se 2.99, 1 Br 3.05
Br  0.5000  0.5000  0.7721  1 Se 3.05, 4 Sc 3.08

=====

Tell me which of them is the most stable. Sure, it is <i>.

=====

<i>
Entry from Alexandria: a relaxed structure of ScSe2Br (PBE).

Computed properties:
ρ ... 4.1 g/cm³
Crystal system ... trigonal

Cell lengths 8.3179, 8.3179, 8.3179 Å; angles 28.19, 28.19, 28.19 degrees
Last column: nearest neighbours and their distance in Å.
Fractional positions:
Sc  0.0000  0.0000  0.0000  6 Se 2.73
Se  0.3918  0.3918  0.3918  1 Br 2.59, 3 Sc 2.73
Se  0.6082  0.6082  0.6082  1 Br 2.59, 3 Sc 2.73
Br  0.5000  0.5000  0.5000  2 Se 2.59

=====

<ii>
Entry from Alexandria: a relaxed structure of ScSe2Br (PBE).

Computed properties:
ρ ... 4.5 g/cm³
Crystal system ... trigonal

Cell lengths 9.8785, 9.8785, 9.8785 Å; angles 20.58, 20.58, 20.58 degrees
Last column: nearest neighbours and their distance in Å.
Fractional positions:
Sc  0.0000  0.0000  0.0000  2 Se 2.51
Se  0.0865  0.0865  0.0865  1 Sc 2.51
Se  0.9135  0.9135  0.9135  1 Sc 2.51
Br  0.5000  0.5000  0.5000  6 Se 3.09

=====

<iii>
Entry from Alexandria: a relaxed structure of ScSe2Br (PBE).

Computed properties:
ρ ... 3.7 g/cm³
Crystal system ... orthorhombic

Cell lengths 7.6509, 7.6509, 7.6509 Å; angles 151.72, 143.34, 46.93 degrees
Last column: nearest neighbours and their distance in Å.
Fractional positions:
Sc  0.0000  0.0000  0.0000  2 Se 2.63, 2 Br 2.71
Se  0.4401  0.4401  0.0000  2 Se 2.61
Se  0.8682  0.3682  0.5000  2 Se 2.61, 2 Sc 2.63
Br  0.1396  0.6396  0.5000  2 Sc 2.71

=====

<iv>
Entry from Alexandria: a relaxed structure of ScSe2Br (PBE).

Computed properties:
ρ ... 4.9 g/cm³
Crystal system ... orthorhombic

Cell lengths 6.1833, 6.1833, 6.1833 Å; angles 146.50, 131.78, 59.99 degrees
Last column: nearest neighbours and their distance in Å.
Fractional positions:
Sc  0.0000  0.0000  0.0000  4 Se 2.71
Se  0.1909  0.6909  0.5000  2 Sc 2.71
Se  0.8091  0.3091  0.5000  2 Sc 2.71
Br  0.5000  0.5000  0.0000  4 Sc 3.09, 4 Se 3.25

=====

Tell me which of them is the most stable. Sure, it is <iii>.

=====

<i>
Entry from Alexandria: a relaxed structure of ScSe2Br (PBE).

Computed properties:
ρ ... 4.4 g/cm³
Crystal system ... monoclinic

Cell lengths 5.2886, 3.9654, 5.3488 Å; angles 90.00, 105.88, 90.00 degrees
Last column: nearest neighbours and their distance in Å.
Fractional positions:
Sc  0.0000  0.0000  0.0000  2 Br 2.67, 4 Se 2.75
Se  0.3718  0.5000  0.1530  1 Se 2.39
Se  0.6282  0.5000  0.8470  1 Se 2.39
Br  0.0000  0.0000  0.5000  2 Sc 2.67

=====

<ii>
Entry from Alexandria: a relaxed structure of ScSe2Br (PBE).

Computed properties:
ρ ... 4.3 g/cm³
Crystal system ... monoclinic

Cell lengths 4.7193, 5.5217, 4.7986 Å; angles 90.00, 119.25, 90.00 degrees
Last column: nearest neighbours and their distance in Å.
Fractional positions:
Sc  0.0000  0.0000  0.0000  5 Se 2.74-2.79
Se  0.0058  0.5000  0.9205  2 Br 2.51-2.52, 2 Sc 2.79
Se  0.3328  0.0000  0.6553  3 Sc 2.74-2.78
Br  0.5997  0.5000  0.3361  2 Se 2.51-2.52

=====

Tell me which of them is the most stable. Sure, it is <i>.